The following is a DFT calculation (PBE) of a relaxed IrAuSe2 crystal.

Unit cell a=3.123 b=4.750 c=4.750 alpha=90.00 beta=90.00 gamma=90.00
Fractional positions:
Se1 0.000 0.500 0.500
Au1 0.500 0.500 0.000
Ir1 0.500 0.000 0.500
Se2 0.000 0.000 0.000

Properties
The space-group type is P4/mmm, No. 123. As for the total energy: -16.86 eV/cell. As for the crystal system: tetragonal. The calculation puts the density of states at the Fermi level at 2.32 states/eV per cell. For the raw formation energy, the calculation gives 0.56 eV/atom.